{
  "formula": "BeTl2Fe",
  "functional": "PBE-GGA",
  "state": "relaxed",
  "space_group": "No. 6",
  "total_magnetization_mub_per_cell": 1.9,
  "e_form_ev_per_atom": 0.5340,
  "total_energy_ev_per_fu": -14.79,
  "lattice_angstrom": [[3.6576, 0.0000, 0.0000], [0.0000, 3.9583, -0.0137], [0.0000, 1.9669, 5.0931]],
  "species": ["Tl", "Tl", "Fe", "Be"],
  "fractional_positions": [[0.5000, 0.2708, 0.3307], [0.0000, 0.9830, 0.9119], [0.5000, 0.5594, 0.7562], [0.0000, 0.6868, 0.5012]]
}

---

{
  "formula": "BeTlFe2",
  "functional": "PBE-GGA",
  "state": "relaxed",
  "space_group": "No. 10",
  "total_magnetization_mub_per_cell": 4.5,
  "e_form_ev_per_atom": 0.3726,
  "total_energy_ev_per_fu": -21.53,
  "lattice_angstrom": [[-2.3229, 1.7697, -0.2034], [-1.5959, -2.2138, -1.0354], [-3.3114, -3.7726, 4.9926]],
  "species": ["Fe", "Tl", "Fe", "Be"],
  "fractional_positions": [[0.0000, 0.4272, 0.5712], [0.5000, 0.2500, 0.2500], [0.0000, 0.0728, 0.9288], [0.5000, 0.7500, 0.7500]]
}

---

{
  "formula": "BeTl2Fe",
  "functional": "PBE-GGA",
  "state": "relaxed",
  "space_group": "No. 119",
  "total_magnetization_mub_per_cell": 2.3,
  "e_form_ev_per_atom": 0.7570,
  "total_energy_ev_per_fu": -13.89,
  "lattice_angstrom": [[-3.1934, -0.5391, -4.4202], [-3.5785, -4.1460, -0.1746], [1.4525, 3.9609, 3.4968]],
  "species": ["Fe", "Tl", "Tl", "Be"],
  "fractional_positions": [[0.7500, 0.2500, 0.5000], [0.2500, 0.7500, 0.5000], [0.0000, 0.0000, 0.0000], [0.5000, 0.5000, 0.0000]]
}

---

{
  "formula": "BeTl2Fe",
  "functional": "PBE-GGA",
  "state": "relaxed",
  "space_group": "No. 123",
  "total_magnetization_mub_per_cell": 2.6,
  "e_form_ev_per_atom": 0.7862,
  "total_energy_ev_per_fu": -13.78,
  "lattice_angstrom": [[3.3989, 0.0000, 0.0000], [0.0000, 4.6608, 0.0000], [0.0000, 0.0000, 4.6608]],
  "species": ["Tl", "Be", "Fe", "Tl"],
  "fractional_positions": [[0.0000, 0.0000, 0.0000], [0.5000, 0.5000, 0.0000], [0.5000, 0.0000, 0.5000], [0.0000, 0.5000, 0.5000]]
}

---

{
  "formula": "BeTlFe2",
  "functional": "PBE-GGA",
  "state": "relaxed",
  "space_group": "No. 216",
  "total_magnetization_mub_per_cell": 4.6,
  "e_form_ev_per_atom": 0.5043,
  "total_energy_ev_per_fu": -21.00,
  "lattice_angstrom": [[4.2581, 0.0000, 0.0000], [2.1291, 3.6877, 0.0000], [2.1291, 1.2292, 3.4768]],
  "species": ["Fe", "Fe", "Tl", "Be"],
  "fractional_positions": [[0.0000, 0.0000, 0.0000], [0.2500, 0.2500, 0.2500], [0.7500, 0.7500, 0.7500], [0.5000, 0.5000, 0.5000]]
}

---

{
  "formula": "BeTl2Fe",
  "functional": "PBE-GGA",
  "state": "relaxed",
  "space_group": "No. 160",
  "total_magnetization_mub_per_cell": 1.8,
  "e_form_ev_per_atom": 0.5732,
  "total_energy_ev_per_fu": -14.63,
  "lattice_angstrom": [[6.3662, -0.0879, -0.0539], [5.2231, 3.6408, -0.0539], [5.2231, 1.6012, 3.2702]],
  "species": ["Tl", "Fe", "Tl", "Be"],
  "fractional_positions": [[0.0256, 0.0256, 0.0256], [0.7945, 0.7945, 0.7945], [0.2240, 0.2240, 0.2240], [0.4558, 0.4558, 0.4558]]
}

---

{
  "formula": "BeTl2Fe",
  "functional": "PBE-GGA",
  "state": "relaxed",
  "space_group": "No. 99",
  "total_magnetization_mub_per_cell": 2.3,
  "e_form_ev_per_atom": 0.4404,
  "total_energy_ev_per_fu": -15.16,
  "lattice_angstrom": [[-2.4677, -0.5285, -1.8976], [1.9654, -0.4541, -2.4291], [0.3333, -7.6812, 1.7057]],
  "species": ["Tl", "Fe", "Be", "Tl"],
  "fractional_positions": [[0.0000, 0.0000, 0.9369], [0.5000, 0.5000, 0.6637], [0.0000, 0.0000, 0.5966], [0.5000, 0.5000, 0.3027]]
}

---

{
  "formula": "BeTl2Fe",
  "functional": "PBE-GGA",
  "state": "relaxed",
  "space_group": "No. 12",
  "total_magnetization_mub_per_cell": 2.7,
  "e_form_ev_per_atom": 0.8167,
  "total_energy_ev_per_fu": -13.65,
  "lattice_angstrom": [[5.5278, -0.0158, 0.2082], [-1.6627, 5.2718, 0.2082], [0.8819, 1.1993, 2.8070]],
  "species": ["Fe", "Be", "Tl", "Tl"],
  "fractional_positions": [[0.0000, 0.5000, 0.5000], [0.5000, 0.0000, 0.5000], [0.0000, 0.0000, 0.0000], [0.5000, 0.5000, 0.0000]]
}

---

{
  "formula": "BeTlFe2",
  "functional": "PBE-GGA",
  "state": "relaxed",
  "space_group": "No. 139",
  "total_magnetization_mub_per_cell": 4.7,
  "e_form_ev_per_atom": 0.4485,
  "total_energy_ev_per_fu": -21.22,
  "lattice_angstrom": [[4.7956, 0.0097, 0.0000], [1.9450, 4.3834, 0.0000], [-3.3703, -2.1966, 2.6103]],
  "species": ["Fe", "Be", "Fe", "Tl"],
  "fractional_positions": [[0.5000, 0.5000, 0.0000], [0.7500, 0.2500, 0.5000], [0.0000, 0.0000, 0.0000], [0.2500, 0.7500, 0.5000]]
}

---

{
  "formula": "BeTlFe2",
  "functional": "PBE-GGA",
  "state": "relaxed",
  "space_group": "No. 166",
  "total_magnetization_mub_per_cell": 4.5,
  "e_form_ev_per_atom": 0.4904,
  "total_energy_ev_per_fu": -21.06,
  "lattice_angstrom": [[-3.7390, 3.1535, 4.3179], [-1.2684, 1.9195, 6.1053], [-0.8469, 4.7172, 4.4271]],
  "species": ["Fe", "Be", "Tl", "Fe"],
  "fractional_positions": [[0.0306, 0.0306, 0.0306], [0.7500, 0.7500, 0.7500], [0.2500, 0.2500, 0.2500], [0.4694, 0.4694, 0.4694]]
}

---

{
  "formula": "BeTl2Fe",
  "functional": "PBE-GGA",
  "state": "relaxed",
  "space_group": "No. 44",
  "total_magnetization_mub_per_cell": 2.0,
  "e_form_ev_per_atom": 0.5835,
  "total_energy_ev_per_fu": -14.59,
  "lattice_angstrom": [[6.1460, -0.0596, 0.0173], [3.8280, 4.8087, -0.0173], [-4.6373, -3.1092, 2.5703]],
  "species": ["Tl", "Tl", "Be", "Fe"],
  "fractional_positions": [[0.2537, 0.7537, 0.5000], [0.9788, 0.9788, 0.0000], [0.5639, 0.5639, 0.0000], [0.7035, 0.2035, 0.5000]]
}

---

{
  "formula": "Be4TlFe",
  "functional": "PBE-GGA",
  "state": "relaxed",
  "space_group": "No. 216",
  "total_magnetization_mub_per_cell": 0.7,
  "e_form_ev_per_atom": 0.2765,
  "total_energy_ev_per_fu": -24.07,
  "lattice_angstrom": [[1.7195, -1.4994, 3.8455], [-1.7242, -3.6336, 1.9538], [2.3270, -3.8174, 0.0706]],
  "species": ["Fe", "Be", "Be", "Tl", "Be", "Be"],
  "fractional_positions": [[0.2500, 0.2500, 0.2500], [0.1346, 0.6218, 0.6218], [0.6218, 0.1346, 0.6218], [0.0000, 0.0000, 0.0000], [0.6218, 0.6218, 0.6218], [0.6218, 0.6218, 0.1346]]
}